[1]
VASP calculation (PBE) on an optimized crystal structure of DyPuSb2.

Lattice parameters (Å, degrees): 4.3996 4.3996 22.0969 90.00 90.00 120.00
Atoms (fractional coordinates):
Dy 0.0000 0.0000 0.0000
Dy 0.3333 0.6667 0.6667
Dy 0.6667 0.3333 0.3333
Pu 0.0000 0.0000 0.8290
Pu 0.3333 0.6667 0.4957
Pu 0.6667 0.3333 0.1624
Sb 0.0000 0.0000 0.2468
Sb 0.0000 0.0000 0.4157
Sb 0.3333 0.6667 0.0824
Sb 0.3333 0.6667 0.9135
Sb 0.6667 0.3333 0.5802
Sb 0.6667 0.3333 0.7490

Computed properties:
E_form (uncorrected)   -0.75 eV/atom

***

[2]
VASP calculation (PBE) on an optimized crystal structure of Na2SiP2Pd.

Lattice parameters (Å, degrees): 7.9312 7.9312 7.9312 140.50 61.27 135.16
Atoms (fractional coordinates):
Na 0.1773 0.2060 0.3833
Na 0.3227 0.7060 0.0287
Na 0.6773 0.2940 0.9713
Na 0.8227 0.7940 0.6167
Si 0.2500 0.7500 0.5000
Si 0.7500 0.2500 0.5000
P 0.1026 0.7015 0.8041
P 0.3974 0.2015 0.5989
P 0.6026 0.7985 0.4011
P 0.8974 0.2985 0.1959
Pd 0.2500 0.2500 0.0000
Pd 0.7500 0.7500 0.0000

Computed properties:
E_form (uncorrected)   -0.41 eV/atom

***

[3]
VASP calculation (PBE) on an optimized crystal structure of Zr2Sc.

Lattice parameters (Å, degrees): 5.0127 5.0127 6.3876 90.00 90.00 120.00
Atoms (fractional coordinates):
Zr 0.0000 0.0000 0.0000
Zr 0.0000 0.0000 0.5000
Zr 0.3333 0.6667 0.2500
Zr 0.6667 0.3333 0.7500
Sc 0.3333 0.6667 0.7500
Sc 0.6667 0.3333 0.2500

Computed properties:
Energy of formation from the pure elements   0.0152 eV/atom

***

[4]
VASP calculation (PBE) on an optimized crystal structure of NaMg2Zn10.

Lattice parameters (Å, degrees): 9.0185 7.1508 6.7745 80.68 51.48 47.84
Atoms (fractional coordinates):
Na 0.0000 0.0000 0.0000
Mg 0.0000 0.5000 0.0000
Mg 0.5000 0.0000 0.5000
Zn 0.0000 0.0000 0.5000
Zn 0.0157 0.6448 0.3552
Zn 0.2896 0.5047 0.4953
Zn 0.3552 0.9843 0.0157
Zn 0.4953 0.7104 0.2896
Zn 0.5000 0.5000 0.0000
Zn 0.5047 0.2896 0.7104
Zn 0.6448 0.0157 0.9843
Zn 0.7104 0.4953 0.5047
Zn 0.9843 0.3552 0.6448

Computed properties:
Energy of formation from the pure elements   0.0103 eV/atom

***

[5]
VASP calculation (PBE) on an optimized crystal structure of ZrMnNi.

Lattice parameters (Å, degrees): 3.9317 3.9317 3.5747 90.00 90.00 120.00
Atoms (fractional coordinates):
Zr 0.0000 0.0000 0.0000
Mn 0.6667 0.3333 0.5000
Ni 0.3333 0.6667 0.5000

Computed properties:
Energy of formation from the pure elements   -0.0647 eV/atom

***

[6]
VASP calculation (PBE) on an optimized crystal structure of MgIn2Cu2Pt5.

Lattice parameters (Å, degrees): 9.1421 9.1421 3.9808 90.00 90.00 90.00
Atoms (fractional coordinates):
Mg 0.0000 0.0000 0.0000
Mg 0.5000 0.5000 0.0000
In 0.1704 0.3296 0.0000
In 0.3296 0.8296 0.0000
In 0.6704 0.1704 0.0000
In 0.8296 0.6704 0.0000
Cu 0.1238 0.6238 0.0000
Cu 0.3762 0.1238 0.0000
Cu 0.6238 0.8762 0.0000
Cu 0.8762 0.3762 0.0000
Pt 0.0000 0.5000 0.5000
Pt 0.0903 0.8066 0.5000
Pt 0.1934 0.0903 0.5000
Pt 0.3066 0.5903 0.5000
Pt 0.4097 0.3066 0.5000
Pt 0.5000 0.0000 0.5000
Pt 0.5903 0.6934 0.5000
Pt 0.6934 0.4097 0.5000
Pt 0.8066 0.9097 0.5000
Pt 0.9097 0.1934 0.5000

Computed properties:
Energy of formation from the pure elements   -0.3700 eV/atom

***

[7]
VASP calculation (PBE) on an optimized crystal structure of CaTiNiH2.

Lattice parameters (Å, degrees): 3.7123 3.7123 6.3272 90.00 90.00 90.00
Atoms (fractional coordinates):
Ca 0.0000 0.0000 0.0000
Ti 0.0000 0.0000 0.5000
Ni 0.5000 0.5000 0.0000
H 0.0000 0.5000 0.5000
H 0.5000 0.0000 0.5000

Computed properties:
E   -19.39 eV per cell

***

[8]
VASP calculation (PBE) on an optimized crystal structure of NaBi3C.

Lattice parameters (Å, degrees): 5.4817 5.4817 5.4817 90.00 90.00 90.00
Atoms (fractional coordinates):
Na 0.0000 0.0000 0.0000
Bi 0.0000 0.0000 0.5000
Bi 0.0000 0.5000 0.0000
Bi 0.5000 0.0000 0.0000
C 0.5000 0.5000 0.5000

Computed properties:
Energy of formation from the pure elements   1.9574 eV/atom

***

[9]
VASP calculation (PBE) on an optimized crystal structure of TbScAs.

Lattice parameters (Å, degrees): 7.6010 7.6010 4.0302 90.00 90.00 120.00
Atoms (fractional coordinates):
Tb 0.0000 0.5948 0.0000
Tb 0.4052 0.4052 0.0000
Tb 0.5948 0.0000 0.0000
Sc 0.0000 0.2503 0.5000
Sc 0.2503 0.0000 0.5000
Sc 0.7497 0.7497 0.5000
As 0.0000 0.0000 0.0000
As 0.3333 0.6667 0.5000
As 0.6667 0.3333 0.5000

Computed properties:
Energy of formation from the pure elements   -0.9996 eV/atom

***

[10]
VASP calculation (PBE) on an optimized crystal structure of Tb2NdPb9.

Lattice parameters (Å, degrees): 4.9039 4.9039 14.6795 90.00 90.00 90.00
Atoms (fractional coordinates):
Tb 0.0000 0.0000 0.1656
Tb 0.0000 0.0000 0.8344
Nd 0.0000 0.0000 0.5000
Pb 0.0000 0.5000 0.0000
Pb 0.0000 0.5000 0.3303
Pb 0.0000 0.5000 0.6697
Pb 0.5000 0.0000 0.0000
Pb 0.5000 0.0000 0.3303
Pb 0.5000 0.0000 0.6697
Pb 0.5000 0.5000 0.1651
Pb 0.5000 0.5000 0.5000
Pb 0.5000 0.5000 0.8349

Computed properties:
Energy of formation from the pure elements   -0.3208 eV/atom

***

[11]
VASP calculation (PBE) on an optimized crystal structure of Li2NbSn4.

Lattice parameters (Å, degrees): 6.6407 6.6407 7.0304 90.00 90.00 90.00
Atoms (fractional coordinates):
Li 0.0000 0.5000 0.0000
Li 0.0000 0.5000 0.5000
Li 0.5000 0.0000 0.0000
Li 0.5000 0.0000 0.5000
Nb 0.0000 0.0000 0.0000
Nb 0.5000 0.5000 0.5000
Sn 0.2500 0.2500 0.2500
Sn 0.2500 0.2500 0.7500
Sn 0.2500 0.7500 0.2500
Sn 0.2500 0.7500 0.7500
Sn 0.7500 0.2500 0.2500
Sn 0.7500 0.2500 0.7500
Sn 0.7500 0.7500 0.2500
Sn 0.7500 0.7500 0.7500

Computed properties:
Energy of formation from the pure elements   -0.0959 eV/atom

***

[12]
VASP calculation (PBE) on an optimized crystal structure of AlGa2SnSe6.

Lattice parameters (Å, degrees): 8.9372 8.9372 7.1467 104.10 104.10 86.77
Atoms (fractional coordinates):
Al 0.1933 0.8067 0.7500
Al 0.8067 0.1933 0.2500
Ga 0.2618 0.4028 0.2990
Ga 0.4028 0.2618 0.7990
Ga 0.5972 0.7382 0.2010
Ga 0.7382 0.5972 0.7010
Sn 0.1181 0.8819 0.2500
Sn 0.8819 0.1181 0.7500
Se 0.0543 0.1855 0.1560
Se 0.1065 0.6219 0.4336
Se 0.1855 0.0543 0.6560
Se 0.2823 0.4642 0.9953
Se 0.3781 0.8935 0.0664
Se 0.4642 0.2823 0.4953
Se 0.5358 0.7177 0.5047
Se 0.6219 0.1065 0.9336
Se 0.7177 0.5358 0.0047
Se 0.8145 0.9457 0.3440
Se 0.8935 0.3781 0.5664
Se 0.9457 0.8145 0.8440

Computed properties:
E_form (uncorrected)   -0.48 eV/atom